Record 1
CuTe2Br | PBE-GGA | relaxed

Calculated values
E_form (uncorrected), eV/atom: 0.101
Fermi-level density of states, states/eV/f.u.: 3.97

```
data_CuTe2Br
_chemical_formula_sum 'Cu1 Te2 Br1'
_cell_length_a 6.118
_cell_length_b 6.118
_cell_length_c 6.118
_cell_angle_alpha 144.50
_cell_angle_beta 101.90
_cell_angle_gamma 88.84
_symmetry_space_group_name_H-M 'P 1'
_symmetry_Int_Tables_number 1
loop_
_symmetry_equiv_pos_as_xyz
'x,y,z'
loop_
_atom_site_label
_atom_site_type_symbol
_atom_site_fract_x
_atom_site_fract_y
_atom_site_fract_z
Cu1 Cu 0.000 0.000 0.000
Te1 Te 0.215 0.715 0.500
Te2 Te 0.469 0.469 0.000
Br1 Br 0.825 0.325 0.500
```

---

Record 2
NbTlAg3 | PBE-GGA | relaxed

Calculated values
Excess energy over the best structure of this formula in the dataset, eV/atom: 0.000
Fermi-level density of states, states/eV/f.u.: 6.34

```
data_NbTlAg3
_chemical_formula_sum 'Nb1 Tl1 Ag3'
_cell_length_a 5.283
_cell_length_b 5.283
_cell_length_c 5.283
_cell_angle_alpha 90.00
_cell_angle_beta 90.00
_cell_angle_gamma 90.00
_symmetry_space_group_name_H-M 'P 1'
_symmetry_Int_Tables_number 1
loop_
_symmetry_equiv_pos_as_xyz
'x,y,z'
loop_
_atom_site_label
_atom_site_type_symbol
_atom_site_fract_x
_atom_site_fract_y
_atom_site_fract_z
Nb1 Nb 0.000 0.000 0.000
Tl1 Tl 0.500 0.500 0.500
Ag1 Ag 0.000 0.000 0.500
Ag2 Ag 0.000 0.500 0.000
Ag3 Ag 0.500 0.000 0.000
```

---

Record 3
CaYTmCd | PBE-GGA | relaxed

Calculated values
Fermi-level density of states, states/eV/f.u.: 4.70
Total energy, eV per atom: -3.46

```
data_CaYTmCd
_chemical_formula_sum 'Ca1 Y1 Tm1 Cd1'
_cell_length_a 5.486
_cell_length_b 5.486
_cell_length_c 5.486
_cell_angle_alpha 60.00
_cell_angle_beta 60.00
_cell_angle_gamma 60.00
_symmetry_space_group_name_H-M 'P 1'
_symmetry_Int_Tables_number 1
loop_
_symmetry_equiv_pos_as_xyz
'x,y,z'
loop_
_atom_site_label
_atom_site_type_symbol
_atom_site_fract_x
_atom_site_fract_y
_atom_site_fract_z
Ca1 Ca 0.000 0.000 0.000
Y1 Y 0.750 0.750 0.750
Tm1 Tm 0.250 0.250 0.250
Cd1 Cd 0.500 0.500 0.500
```

---

Record 4
BeCuP2Ru | PBE-GGA | relaxed

Calculated values
Fermi-level density of states, states/eV/f.u.: 3.49
Total energy, eV per atom: -4.28

```
data_BeCuP2Ru
_chemical_formula_sum 'Be1 Cu1 P2 Ru1'
_cell_length_a 4.222
_cell_length_b 4.222
_cell_length_c 4.805
_cell_angle_alpha 90.00
_cell_angle_beta 90.00
_cell_angle_gamma 90.00
_symmetry_space_group_name_H-M 'P 1'
_symmetry_Int_Tables_number 1
loop_
_symmetry_equiv_pos_as_xyz
'x,y,z'
loop_
_atom_site_label
_atom_site_type_symbol
_atom_site_fract_x
_atom_site_fract_y
_atom_site_fract_z
Be1 Be 0.000 0.000 0.000
Cu1 Cu 0.500 0.500 0.500
P1 P 0.000 0.500 0.500
P2 P 0.500 0.000 0.500
Ru1 Ru 0.500 0.500 0.000
```

---

Record 5
KTaCo | PBE-GGA | relaxed

Calculated values
Excess energy over the best structure of this formula in the dataset, eV/atom: 0.000
Fermi-level density of states, states/eV/f.u.: 3.62

```
data_KTaCo
_chemical_formula_sum 'K1 Ta1 Co1'
_cell_length_a 3.268
_cell_length_b 3.268
_cell_length_c 7.668
_cell_angle_alpha 90.00
_cell_angle_beta 90.00
_cell_angle_gamma 120.00
_symmetry_space_group_name_H-M 'P 1'
_symmetry_Int_Tables_number 1
loop_
_symmetry_equiv_pos_as_xyz
'x,y,z'
loop_
_atom_site_label
_atom_site_type_symbol
_atom_site_fract_x
_atom_site_fract_y
_atom_site_fract_z
K1 K 0.000 0.000 0.000
Ta1 Ta 0.667 0.333 0.449
Co1 Co 0.333 0.667 0.632
```